KMn3In4Cl12 | PBE | optimized geometry

a b c (Å): 8.968 8.968 8.968
angles (deg): 109.47 109.47 109.47
Last column: magnetic moment on the atom in μB.
Fractional coordinates of all 20 atoms:
Cl  0.500  0.750  0.250  0.04
In  0.500  0.000  0.000  0.00
In  0.000  0.000  0.500  0.00
Cl  0.000  0.723  0.723  0.02
In  0.000  0.500  0.000  0.00
Cl  0.277  0.000  0.277  0.02
In  0.500  0.500  0.500  0.00
Cl  0.723  0.000  0.723  0.02
K  0.000  0.000  0.000  0.00
Mn  0.000  0.500  0.500  4.19
Mn  0.500  0.000  0.500  4.19
Cl  0.750  0.500  0.250  0.04
Cl  0.250  0.750  0.500  0.04
Cl  0.723  0.723  0.000  0.02
Mn  0.500  0.500  0.000  4.19
Cl  0.500  0.250  0.750  0.04
Cl  0.000  0.277  0.277  0.02
Cl  0.750  0.250  0.500  0.04
Cl  0.277  0.277  0.000  0.02
Cl  0.250  0.500  0.750  0.04

Calculated values
energy relative to the elements, uncorrected = -96.8 kJ/mol of atoms
DFT total energy = -81.8 eV per formula unit
spin magnetization = 14.00 μB/cell
space group = Im-3m, No. 229

KMn2InCl8 | PBE | optimized geometry

a b c (Å): 6.353 6.354 8.835
angles (deg): 78.97 79.03 77.63
Last column: magnetic moment on the atom in μB.
Fractional coordinates of all 12 atoms:
K  0.000  0.000  0.500  0.00
Cl  0.194  0.742  0.219  0.04
In  0.000  0.000  0.000  0.04
Cl  0.744  0.196  0.218  0.04
Cl  0.806  0.258  0.781  0.04
Cl  0.260  0.258  0.969  0.04
Cl  0.740  0.742  0.031  0.04
Cl  0.256  0.804  0.782  0.04
Mn  0.556  0.556  0.278  4.39
Cl  0.668  0.670  0.486  0.08
Cl  0.332  0.330  0.514  0.08
Mn  0.444  0.444  0.722  4.39

Calculated values
energy relative to the elements, uncorrected = -115.4 kJ/mol of atoms
DFT total energy = -51.3 eV per formula unit
spin magnetization = 10.00 μB/cell
space group = P-1, No. 2

K2MnInCl6 | PBE | optimized geometry

a b c (Å): 7.386 7.386 7.298
angles (deg): 59.52 59.58 59.97
Last column: magnetic moment on the atom in μB.
Fractional coordinates of all 10 atoms:
Cl  0.147  0.012  0.295  -0.01
Cl  0.485  0.620  0.808  -0.01
Cl  0.013  0.549  0.292  -0.01
In  0.816  0.816  0.552  -0.19
Cl  0.549  0.148  0.292  -0.01
Mn  0.316  0.316  0.052  4.21
Cl  0.619  0.084  0.811  -0.01
K  0.557  0.556  0.332  0.00
K  0.076  0.076  0.771  0.00
Cl  0.084  0.484  0.811  -0.01

Calculated values
energy relative to the elements, uncorrected = -134.0 kJ/mol of atoms
DFT total energy = -39.1 eV per formula unit
spin magnetization = 4.22 μB/cell
space group = P-1, No. 2

KMnInCl6 | PBE | optimized geometry

a b c (Å): 6.567 6.567 13.615
angles (deg): 90.00 90.00 120.00
Last column: magnetic moment on the atom in μB.
Fractional coordinates of all 18 atoms:
K  0.000  0.000  0.000  0.00
Cl  0.614  0.649  0.151  -0.02
Cl  0.386  0.351  0.849  -0.02
Cl  0.386  0.035  0.651  -0.02
Cl  0.965  0.351  0.651  -0.02
Cl  0.351  0.965  0.151  -0.02
Mn  0.333  0.667  0.250  1.18
Cl  0.351  0.386  0.349  -0.02
Mn  0.667  0.333  0.750  1.18
Cl  0.614  0.965  0.349  -0.02
Cl  0.965  0.614  0.849  -0.02
Cl  0.035  0.386  0.151  -0.02
Cl  0.649  0.035  0.849  -0.02
In  0.333  0.667  0.750  -0.11
In  0.667  0.333  0.250  -0.11
Cl  0.649  0.614  0.651  -0.02
K  0.000  0.000  0.500  0.00
Cl  0.035  0.649  0.349  -0.02

Calculated values
energy relative to the elements, uncorrected = -106.5 kJ/mol of atoms
DFT total energy = -34.0 eV per formula unit
spin magnetization = 1.93 μB/cell
space group = P-31c, No. 163